Record 1
The following is a DFT calculation (GGA-PBE) of an optimized crystal structure of Zn3Fe2Ge.

Magnetic moment   4.823 μB per formula unit
DFT total energy   -24.419 eV for the cell shown
ΔE_f   0.158 eV per atom
N(E_F)   3.38 states/eV/f.u.

Unit cell a=4.812 b=4.812 c=4.408 alpha=90.00 beta=90.00 gamma=120.00
Positions (direct):
Zn 0.000 0.500 0.000
Zn 0.500 0.000 0.000
Zn 0.500 0.500 0.000
Fe 0.333 0.667 0.500
Fe 0.667 0.333 0.500
Ge 0.000 0.000 0.500



Record 2
The following is a DFT calculation (GGA-PBE) of an optimized crystal structure of FePC.

ΔE to the lowest computed polymorph   64 meV per atom
Magnetic moment   0.017 μB per formula unit
DFT total energy   -45.011 eV for the cell shown
ΔE_f   0.197 eV per atom
N(E_F)   1.60 states/eV/f.u.

Unit cell a=4.205 b=2.761 c=5.449 alpha=90.00 beta=93.83 gamma=90.00
Positions (direct):
Fe 0.000 0.000 0.000
Fe 0.494 0.000 0.694
P 0.520 0.000 0.118
P 0.921 0.500 0.680
C 0.253 0.500 0.497
C 0.273 0.500 0.232